# 1
A plane-wave DFT calculation with PBE was carried out for TlCBr2 after structural relaxation.

abc: 9.6683 9.6683 9.6683
angles: 21.28 21.28 21.28
Closest atoms and distances in Å follow each position.
Fractional positions:
Tl 0.0000 0.0000 0.0000  2 Br 3.33, 6 Tl 3.57
C 0.5000 0.5000 0.5000  6 Br 2.49
Br 0.1175 0.1175 0.1175  3 C 2.49
Br 0.8825 0.8825 0.8825  3 C 2.49

Properties
Offset from the most stable computed form: 20.1 kJ/mol of atoms
Theoretical density: 5993 kg/m3
Crystal system: trigonal
Energy: -2.603 eV per atom

***

# 2
A plane-wave DFT calculation with PBE was carried out for Tl3CBr after structural relaxation.

abc: 6.1687 6.1687 6.1687
angles: 90.00 90.00 90.00
Closest atoms and distances in Å follow each position.
Fractional positions:
Tl 0.0000 0.0000 0.5000  2 Br 3.08
Tl 0.0000 0.5000 0.0000  2 Br 3.08
Tl 0.5000 0.0000 0.0000  2 Br 3.08
C 0.5000 0.5000 0.5000  12 Tl 4.36
Br 0.0000 0.0000 0.0000  6 Tl 3.08

Properties
Offset from the most stable computed form: 70.4 kJ/mol of atoms
Theoretical density: 4988 kg/m3
Crystal system: cubic
Energy: -2.293 eV per atom

***

# 3
A plane-wave DFT calculation with PBE was carried out for TlCBr3 after structural relaxation.

abc: 5.6187 5.6187 5.6187
angles: 90.00 90.00 90.00
Closest atoms and distances in Å follow each position.
Fractional positions:
Tl 0.0000 0.0000 0.0000  6 Br 2.81
C 0.5000 0.5000 0.5000  12 Br 3.97
Br 0.0000 0.0000 0.5000  2 Tl 2.81
Br 0.0000 0.5000 0.0000  2 Tl 2.81
Br 0.5000 0.0000 0.0000  2 Tl 2.81

Properties
Theoretical density: 4270 kg/m3
Crystal system: cubic
Energy: -2.044 eV per atom

***

# 4
A plane-wave DFT calculation with PBE was carried out for YTlCBr2 after structural relaxation.

abc: 5.4492 5.4492 6.6598
angles: 90.00 90.00 90.00
Closest atoms and distances in Å follow each position.
Fractional positions:
Y 0.0000 0.0000 0.0000  4 Br 2.72
Tl 0.0000 0.0000 0.5000  2 Y 3.33
C 0.5000 0.5000 0.5000  4 Tl 3.85, 8 Br 4.30
Br 0.0000 0.5000 0.0000  2 Y 2.72
Br 0.5000 0.0000 0.0000  2 Y 2.72

Properties
Theoretical density: 3906 kg/m3
Crystal system: tetragonal
Energy: -3.696 eV per atom

***

# 5
A plane-wave DFT calculation with PBE was carried out for Tl2ZnCBr after structural relaxation.

abc: 5.0106 5.0106 5.0371
angles: 90.00 90.00 90.00
Closest atoms and distances in Å follow each position.
Fractional positions:
Tl 0.0000 0.5000 0.0000  2 C 2.51
Tl 0.5000 0.0000 0.0000  2 C 2.51
Zn 0.0000 0.0000 0.5000  4 Br 3.54, 8 Tl 3.55
C 0.5000 0.5000 0.0000  4 Tl 2.51, 2 Br 2.52
Br 0.5000 0.5000 0.5000  2 C 2.52

Properties
Theoretical density: 7433 kg/m3
Crystal system: tetragonal
Energy: -2.498 eV per atom

***

# 6
A plane-wave DFT calculation with PBE was carried out for ZrTlC2Br after structural relaxation.

abc: 4.3423 4.3423 10.6111
angles: 90.00 90.00 90.00
Closest atoms and distances in Å follow each position.
Fractional positions:
Zr 0.0000 0.0000 0.0000  4 C 2.17
Tl 0.0000 0.0000 0.5000  4 Br 3.07
C 0.0000 0.5000 0.0000  2 Zr 2.17
C 0.5000 0.0000 0.0000  2 Zr 2.17
Br 0.5000 0.5000 0.5000  4 Tl 3.07

Properties
Theoretical density: 3316 kg/m3
Crystal system: tetragonal
Energy: -4.862 eV per atom

***

# 7
A plane-wave DFT calculation with PBE was carried out for Tm2CBr3 after structural relaxation.

abc: 9.1348 9.1348 12.2599
angles: 122.05 122.05 24.25
Closest atoms and distances in Å follow each position.
Fractional positions:
Tm 0.0724 0.0724 0.2205  1 C 2.24
Tm 0.3752 0.3752 0.9950  2 C 2.41
Tm 0.6248 0.6248 0.0050  2 C 2.41
Tm 0.9276 0.9276 0.7795  1 C 2.24
C 0.0380 0.0380 0.9896  1 C 1.51
C 0.9620 0.9620 0.0104  1 C 1.51
Br 0.1654 0.1654 0.8647  3 Tm 2.92-3.18
Br 0.2930 0.2930 0.7241  3 Tm 2.81-2.85
Br 0.4569 0.4569 0.6423  2 Tm 2.78
Br 0.5431 0.5431 0.3577  2 Tm 2.78
Br 0.7070 0.7070 0.2759  3 Tm 2.81-2.85
Br 0.8346 0.8346 0.1353  3 Tm 2.92-3.18

Properties
Theoretical density: 5548 kg/m3
Crystal system: monoclinic
Energy: -5.136 eV per atom

***

# 8
A plane-wave DFT calculation with PBE was carried out for Tm2CBr2 after structural relaxation.

abc: 11.0197 11.0197 11.0197
angles: 19.04 19.04 19.04
Closest atoms and distances in Å follow each position.
Fractional positions:
Tm 0.1257 0.1257 0.1257  3 C 2.49
Tm 0.8743 0.8743 0.8743  3 C 2.49
C 0.5000 0.5000 0.5000  6 Tm 2.49
Br 0.3973 0.3973 0.3973  3 Tm 2.90
Br 0.6027 0.6027 0.6027  3 Tm 2.90

Properties
Theoretical density: 6800 kg/m3
Crystal system: trigonal
Energy: -5.510 eV per atom

***

E_form (uncorrected) in eV/atom, matching the order above: 1.131 1.306 1.278 0.584 0.883 1.345 -1.272 -1.207